Run w
## TaGaCl2 (PBE)

Data for a relaxed structure of TaGaCl2.

a b c (Å): 6.5411 6.5411 6.5411
angles (deg): 90.00 90.00 90.00
Fractional coordinates of all 16 atoms:
Ta  0.0000  0.0000  0.0000
Ta  0.0000  0.5000  0.5000
Ta  0.5000  0.0000  0.5000
Ta  0.5000  0.5000  0.0000
Ga  0.0000  0.0000  0.5000
Ga  0.0000  0.5000  0.0000
Ga  0.5000  0.0000  0.0000
Ga  0.5000  0.5000  0.5000
Cl  0.2500  0.2500  0.2500
Cl  0.2500  0.2500  0.7500
Cl  0.2500  0.7500  0.2500
Cl  0.2500  0.7500  0.7500
Cl  0.7500  0.2500  0.2500
Cl  0.7500  0.2500  0.7500
Cl  0.7500  0.7500  0.2500
Cl  0.7500  0.7500  0.7500

Summary:
**Theoretical density**: 7.63 g cm⁻³
**Crystal system**: cubic


Run x
## TaGaCl2 (PBE)

Data for a relaxed structure of TaGaCl2.

a b c (Å): 4.1674 4.1674 17.6280
angles (deg): 90.00 90.00 90.00
Fractional coordinates of all 16 atoms:
Ta  0.0000  0.0000  0.0000
Ta  0.0000  0.5000  0.2500
Ta  0.5000  0.0000  0.7500
Ta  0.5000  0.5000  0.5000
Ga  0.0000  0.0000  0.5000
Ga  0.0000  0.5000  0.7500
Ga  0.5000  0.0000  0.2500
Ga  0.5000  0.5000  0.0000
Cl  0.2286  0.2500  0.1250
Cl  0.2500  0.7286  0.3750
Cl  0.2500  0.7714  0.8750
Cl  0.2714  0.2500  0.6250
Cl  0.7286  0.7500  0.6250
Cl  0.7500  0.2286  0.8750
Cl  0.7500  0.2714  0.3750
Cl  0.7714  0.7500  0.1250

Summary:
**Theoretical density**: 6.98 g cm⁻³
**Crystal system**: tetragonal


Stability summary - winner: run x; margin: 31.2 kJ/mol of atoms.